Here is Fe3P3PbO13 after structural relaxation from Alexandria. Energies are from PBE+U.

Magnetization = 5.87 Bohr magnetons per cell
Uncorrected energy = -276.8 eV for the cell shown

Unit cell a=7.6447 b=6.4153 c=10.5665 alpha=90.00 beta=100.73 gamma=90.00
Space group P2_1/m (No. 11)
Asymmetric unit:
Fe 0.0000 0.0000 0.0000 x2
Fe 0.2149 0.2500 0.5573 x2
Fe 0.3541 0.7500 0.1985 x2
P 0.2175 0.7500 0.4792 x2
P 0.2513 0.2500 0.2361 x2
P 0.3140 0.2500 0.8863 x2
Pb 0.3363 0.7500 0.7994 x2
O 0.0208 0.7500 0.4079 x2
O 0.0755 0.2500 0.1299 x2
O 0.1270 0.7500 0.0927 x2
O 0.2005 0.2500 0.3690 x2
O 0.2057 0.0540 0.9085 x4
O 0.2523 0.5569 0.5711 x4
O 0.3456 0.7500 0.3855 x2
O 0.3542 0.2500 0.7451 x2
O 0.3669 0.0612 0.2104 x4
O 0.4951 0.7500 0.0354 x2